DFT (meta-GGA SCAN) results for a crystal of Ir2Se relaxed with PBEsol.

Calculated values
The value obtained for the energy is -52.927 eV/atom. Its crystal system is cubic. For the formation energy from raw total energies, the calculation gives 1.16 eV/atom. The symmetry is Fd-3m. For the energy relative to the lowest polymorph listed for this composition, the calculation gives 704.4 meV per atom.

Cell lengths 5.201, 5.201, 5.201 Å; angles 60.00, 60.00, 60.00 degrees
Atoms (fractional coordinates):
Ir 0.000 0.000 0.000
Ir 0.000 0.000 0.500
Ir 0.000 0.500 0.000
Ir 0.500 0.000 0.000
Se 0.375 0.375 0.375
Se 0.625 0.625 0.625